Entry 1:
MnSbP after structural relaxation, computed with GGA-PBE.

## Properties
As for the volume: 54.02 Å³/cell. For the raw formation energy, the calculation gives 0.011 eV per atom. The electronic total energy comes out at -18.67 eV for the cell shown.

abc: 3.3131 3.3131 5.6832
angles: 90.00 90.00 120.00
Fractional coordinates of all 3 atoms:
Mn 0.0000 0.0000 0.0424
Sb 0.6667 0.3333 0.6933
P 0.3333 0.6667 0.2642

Entry 2:
BaNaGa2Co after structural relaxation, computed with GGA-PBE.

## Properties
As for the volume: 117.64 Å³/cell. As for the energy of formation from the pure elements: -133 meV/atom. The electronic total energy comes out at -17.07 eV for the cell shown.

abc: 4.7117 4.7117 5.2992
angles: 90.00 90.00 90.00
Fractional coordinates of all 5 atoms:
Na 0.0000 0.0000 0.5000
Co 0.0000 0.0000 0.0000
Ba 0.5000 0.5000 0.5000
Ga 0.0000 0.5000 0.0000
Ga 0.5000 0.0000 0.0000